# PBE CrGa2, optimized geometry
data_CrGa2
_symmetry_space_group_name_H-M 'I 4/m m m'
_symmetry_Int_Tables_number 139
_symmetry_space_group_name_Hall '-I 4 2'
_cell_length_a 3.096
_cell_length_b 3.096
_cell_length_c 9.191
_cell_angle_alpha 90.00
_cell_angle_beta 90.00
_cell_angle_gamma 90.00
loop_
_atom_site_label
_atom_site_fract_x
_atom_site_fract_y
_atom_site_fract_z
Cr1 0.000 0.000 0.000
Ga1 0.000 0.000 0.343
# Formation energy from the elements (eV per atom): 0.105